[1]
Ga3HPd: optimized geometry, PBE-GGA.

VASP energy: -3.455 eV per atom
magnetization: 0.00 μB/f.u.

a b c (Å): 4.1652 4.1652 4.1652
angles (deg): 90.00 90.00 90.00
Closest atoms and distances in Å follow each position.
Fractional coordinates of all 5 atoms:
Ga  0.0000  0.0000  0.5000  2 H 2.08
Ga  0.0000  0.5000  0.0000  2 H 2.08
Ga  0.5000  0.0000  0.0000  2 H 2.08
H  0.0000  0.0000  0.0000  6 Ga 2.08
Pd  0.5000  0.5000  0.5000  12 Ga 2.95


[2]
Ga2HPd4: optimized geometry, PBE-GGA.

VASP energy: -4.742 eV per atom
magnetization: 0.00 μB/f.u.

a b c (Å): 7.1864 7.1864 7.1864
angles (deg): 149.09 149.09 44.28
Closest atoms and distances in Å follow each position.
Fractional coordinates of all 7 atoms:
Ga  0.1382  0.1382  0.0000  5 Pd 2.45-2.66
Ga  0.8618  0.8618  0.0000  5 Pd 2.45-2.66
H  0.5000  0.5000  0.0000  4 Pd 1.92
Pd  0.0000  0.5000  0.5000  2 H 1.92
Pd  0.3220  0.3220  0.0000  1 H 2.37, 1 Ga 2.45
Pd  0.5000  0.0000  0.5000  2 H 1.92
Pd  0.6780  0.6780  0.0000  1 H 2.37, 1 Ga 2.45